[1]
Computed, not measured: a relaxed Hg2Pb3Au5 crystal at the GGA-PBE level of DFT.

Computed properties:
DOS at the Fermi energy   6.1 states/eV/cell
Formation energy from the elements   0.01 eV/atom
Electronic total energy   -56.1 eV for the cell shown
Total moment   0.0 μB per formula unit

a = 6.106 Å, b = 7.151 Å, c = 11.699 Å
α = 107.72°, β = 105.04°, γ = 90.28°
Positions (direct):
Hg  0.888  0.215  0.777
Hg  0.388  0.562  0.777
Hg  0.112  0.785  0.223
Hg  0.612  0.438  0.223
Pb  0.726  0.882  0.453
Pb  0.227  0.572  0.453
Pb  0.274  0.118  0.547
Pb  0.773  0.428  0.547
Pb  0.750  0.000  0.000
Pb  0.250  0.000  0.000
Au  0.583  0.813  0.169
Au  0.085  0.355  0.169
Au  0.417  0.187  0.831
Au  0.915  0.645  0.831
Au  0.593  0.843  0.686
Au  0.407  0.157  0.314
Au  0.249  0.499  0.999
Au  0.751  0.501  0.001
Au  0.907  0.157  0.315
Au  0.093  0.843  0.685

[2]
Computed, not measured: a relaxed LaSm5Te8 crystal at the GGA-PBE level of DFT.

Computed properties:
DOS at the Fermi energy   12.1 states/eV/cell
Formation energy without anion corrections   -1286 meV/atom
Electronic total energy   -71.7 eV for the cell shown
Total moment   0.0 μB per formula unit

a = 9.262 Å, b = 9.262 Å, c = 9.262 Å
α = 60.00°, β = 60.00°, γ = 60.00°
Positions (direct):
La  0.250  0.250  0.250
Sm  0.000  0.000  0.000
Sm  0.626  0.626  0.121
Sm  0.626  0.626  0.626
Sm  0.121  0.626  0.626
Sm  0.626  0.121  0.626
Te  0.385  0.845  0.385
Te  0.845  0.385  0.385
Te  0.385  0.385  0.385
Te  0.385  0.385  0.845
Te  0.868  0.868  0.396
Te  0.396  0.868  0.868
Te  0.868  0.868  0.868
Te  0.868  0.396  0.868

[3]
Computed, not measured: a relaxed TeSe2 crystal at the GGA-PBE level of DFT.

Computed properties:
DOS at the Fermi energy   0.2 states/eV/cell
Formation energy without anion corrections   -15 meV/atom
Electronic total energy   -10.2 eV for the cell shown
Polymorph energy (0 for the lowest one)   0.0 meV per atom
Total moment   0.0 μB per formula unit

a = 3.989 Å, b = 3.989 Å, c = 6.459 Å
α = 90.00°, β = 90.00°, γ = 120.00°
Positions (direct):
Te  0.000  0.000  0.500
Se  0.333  0.667  0.758
Se  0.667  0.333  0.242

[4]
Computed, not measured: a relaxed Th3Cu2Ni4 crystal at the GGA-PBE level of DFT.

Computed properties:
DOS at the Fermi energy   6.0 states/eV/cell
Formation energy from the elements   -0.36 eV/atom
Electronic total energy   -56.8 eV for the cell shown
Total moment   0.0 μB per formula unit

a = 4.002 Å, b = 5.731 Å, c = 8.396 Å
α = 109.37°, β = 90.00°, γ = 110.44°
Positions (direct):
Th  0.657  0.314  0.675
Th  0.000  0.000  0.000
Th  0.343  0.686  0.325
Cu  0.625  0.250  0.287
Cu  0.375  0.750  0.713
Ni  0.716  0.432  0.058
Ni  0.284  0.568  0.942
Ni  0.940  0.880  0.598
Ni  0.060  0.120  0.402

[5]
Computed, not measured: a relaxed Ca3Ga4Cu2 crystal at the GGA-PBE level of DFT.

Computed properties:
DOS at the Fermi energy   4.3 states/eV/cell
Formation energy from the elements   -0.41 eV/atom
Electronic total energy   -30.0 eV for the cell shown
Polymorph energy (0 for the lowest one)   0.0 meV per atom
Total moment   0.0 μB per formula unit

a = 4.420 Å, b = 5.752 Å, c = 8.561 Å
α = 70.59°, β = 75.04°, γ = 67.40°
Positions (direct):
Ca  0.320  0.713  0.647
Ca  0.000  0.000  0.000
Ca  0.680  0.287  0.353
Ga  0.266  0.392  0.077
Ga  0.734  0.608  0.923
Ga  0.025  0.311  0.639
Ga  0.975  0.689  0.361
Cu  0.409  0.918  0.263
Cu  0.591  0.082  0.737

[6]
Computed, not measured: a relaxed RbPt5 crystal at the GGA-PBE level of DFT.

Computed properties:
DOS at the Fermi energy   6.4 states/eV/cell
Formation energy from the elements   0.19 eV/atom
Electronic total energy   -30.0 eV for the cell shown
Total moment   0.0 μB per formula unit

a = 9.874 Å, b = 9.874 Å, c = 4.471 Å
α = 90.00°, β = 90.00°, γ = 163.70°
Positions (direct):
Rb  0.988  0.012  0.000
Pt  0.228  0.772  0.500
Pt  0.318  0.682  0.000
Pt  0.606  0.394  0.500
Pt  0.675  0.325  0.000
Pt  0.851  0.149  0.500

[7]
Computed, not measured: a relaxed La3Mn crystal at the GGA-PBE level of DFT.

Computed properties:
DOS at the Fermi energy   11.9 states/eV/cell
Formation energy from the elements   0.24 eV/atom
Electronic total energy   -46.0 eV for the cell shown
Total moment   3.0 μB per formula unit

a = 5.269 Å, b = 7.127 Å, c = 6.504 Å
α = 90.00°, β = 90.00°, γ = 90.00°
Positions (direct):
La  0.500  0.000  0.605
La  0.000  0.261  0.837
La  0.500  0.239  0.163
La  0.000  0.500  0.395
La  0.000  0.739  0.837
La  0.500  0.761  0.163
Mn  0.000  0.000  0.313
Mn  0.500  0.500  0.687

[8]
Computed, not measured: a relaxed Cs3AcB2O6 crystal at the GGA-PBE level of DFT.

Computed properties:
DOS at the Fermi energy   0.0 states/eV/cell
Formation energy without anion corrections   -2395 meV/atom
Electronic total energy   -78.5 eV for the cell shown
Total moment   0.0 μB per formula unit

a = 5.982 Å, b = 5.982 Å, c = 7.787 Å
α = 90.00°, β = 90.00°, γ = 120.00°
Positions (direct):
Cs  0.333  0.667  0.761
Cs  0.667  0.333  0.239
Cs  0.000  0.000  0.000
Ac  0.000  0.000  0.500
B  0.667  0.333  0.691
B  0.333  0.667  0.309
O  0.604  0.802  0.310
O  0.198  0.396  0.310
O  0.198  0.802  0.310
O  0.802  0.604  0.690
O  0.396  0.198  0.690
O  0.802  0.198  0.690